Below is a relaxed Ce2Zn3GaNi12 crystal, with properties calculated at the PBE-GGA level.

It has space group R-3m (No. 166, hexagonal axes), with a = 6.2755 Å, b = 6.2755 Å, c = 23.6792 Å, α = 90.00°, β = 90.00° and γ = 120.00°. The asymmetric unit holds Ce at (0.0000, 0.0000, 0.1397), Zn at (0.0000, 0.5000, 0.0000), Ga at (0.0000, 0.0000, 0.5000), Ni at (0.0388, 0.5194, 0.8915) and Ni at (0.0791, 0.5395, 0.6197).

The formation energy is 0.017 eV per atom.